First-principles (PBE) data for Li2AgAu after structural relaxation, as listed in Alexandria.

Lattice parameters (Å, degrees): 8.714 8.714 8.714 19.74 19.74 19.74
Fractional coordinates of all 4 atoms:
Ag: 0.750 0.750 0.750
Au: 0.250 0.250 0.250
Li: 0.997 0.997 0.997
Li: 0.503 0.503 0.503

**E_form**: -1.0 eV per formula unit
**Final energy**: -10.92 eV per formula unit
**ΔE to the lowest computed polymorph**: 152 meV/atom